Entry 1:
Computed, not measured: a relaxed structure of Hf2VH2 at the PBE level of DFT.

Its crystal system is tetragonal. As for the uncorrected energy: -7.35 eV per atom. For the magnetic moment, the calculation gives 0.36 μB per formula unit.

The space group is I4/mmm (No. 139) and the conventional cell measures 3.1786, 3.1786 and 12.5027 Å, with angles of 90.00, 90.00 and 90.00 degrees. The distinct sites, in fractional coordinates, are Hf at (0.0000, 0.0000, 0.1406), V at (0.0000, 0.0000, 0.5000) and H at (0.0000, 0.5000, 0.2500).

Entry 2:
Computed, not measured: a relaxed structure of CsS2Br2 at the PBE level of DFT.

The energy relative to the elements, uncorrected is -518 meV per atom. Its crystal system is tetragonal. Its relative energy among the computed polymorphs is 0.00 kcal/mol of atoms. For the magnetic moment, the calculation gives 1.00 μB per formula unit.

The space group is P4/mbm (No. 127) and the conventional cell measures 8.9905, 8.9905 and 4.6211 Å, with angles of 90.00, 90.00 and 90.00 degrees. The distinct sites, in fractional coordinates, are Cs at (0.0000, 0.0000, 0.0000), S at (0.0736, 0.4264, 0.0000) and Br at (0.2279, 0.2721, 0.5000).

Entry 3:
Computed, not measured: a relaxed structure of CrNi2Os at the PBE level of DFT.

Its crystal system is orthorhombic. The calculation puts the energy of formation from the pure elements at 4.70 kJ per mole of atoms. Its relative energy among the computed polymorphs is 0.47 kcal/mol of atoms. For the magnetic moment, the calculation gives 0.00 μB per formula unit.

The space group is Pmm2 (No. 25) and the conventional cell measures 2.5801, 4.1263 and 4.4915 Å, with angles of 90.00, 90.00 and 90.00 degrees. The distinct sites, in fractional coordinates, are Cr at (0.0000, 0.0000, 0.0000), Ni at (0.5000, 0.0000, 0.5116), Ni at (0.5000, 0.5000, 0.8143) and Os at (0.0000, 0.5000, 0.3160).

Entry 4:
Computed, not measured: a relaxed structure of SnAuN3 at the PBE level of DFT.

The energy relative to the elements, uncorrected is 2040 meV per atom. Its crystal system is cubic. For the magnetic moment, the calculation gives 3.11 μB per formula unit.

The space group is Pm-3m (No. 221) and the conventional cell measures 4.1468, 4.1468 and 4.1468 Å, with angles of 90.00, 90.00 and 90.00 degrees. The distinct sites, in fractional coordinates, are Sn at (0.0000, 0.0000, 0.0000), Au at (0.5000, 0.5000, 0.5000) and N at (0.0000, 0.5000, 0.5000).

Entry 5:
Computed, not measured: a relaxed structure of NbTe6Mo at the PBE level of DFT.

The energy relative to the elements, uncorrected is -43 meV per atom. Its crystal system is triclinic. For the magnetic moment, the calculation gives 0.00 μB per formula unit.

The space group is P-1 (No. 2) and the conventional cell measures 6.2161, 6.7402 and 6.9298 Å, with angles of 70.50, 65.65 and 64.24 degrees. The distinct sites, in fractional coordinates, are Nb at (0.0000, 0.0000, 0.0000), Te at (0.0429, 0.7599, 0.7250), Te at (0.3040, 0.5958, 0.1813), Te at (0.3924, 0.1213, 0.6775) and Mo at (0.5000, 0.5000, 0.5000).

Entry 6:
Computed, not measured: a relaxed structure of TmMg2Pd at the PBE level of DFT.

Its crystal system is tetragonal. The calculation puts the energy of formation from the pure elements at -37.50 kJ per mole of atoms. For the magnetic moment, the calculation gives 0.00 μB per formula unit.

The space group is P4/mmm (No. 123) and the conventional cell measures 4.1144, 4.1144 and 4.9760 Å, with angles of 90.00, 90.00 and 90.00 degrees. The distinct sites, in fractional coordinates, are Tm at (0.0000, 0.0000, 0.0000), Mg at (0.0000, 0.5000, 0.5000) and Pd at (0.5000, 0.5000, 0.0000).

Entry 7:
Computed, not measured: a relaxed structure of LaRe2Mo at the PBE level of DFT.

Its crystal system is orthorhombic. The calculation puts the energy of formation from the pure elements at 43.18 kJ per mole of atoms. Its relative energy among the computed polymorphs is 1.91 kcal/mol of atoms. For the magnetic moment, the calculation gives 0.00 μB per formula unit.

The space group is Cmmm (No. 65) and the conventional cell measures 3.1658, 4.7461 and 9.6003 Å, with angles of 90.00, 90.00 and 90.00 degrees. The distinct sites, in fractional coordinates, are La at (0.0000, 0.0000, 0.0000), Re at (0.0000, 0.5000, 0.2813) and Mo at (0.0000, 0.0000, 0.5000).

Entry 8:
Computed, not measured: a relaxed structure of Sm6YSc at the PBE level of DFT.

Its crystal system is tetragonal. The calculation puts the energy of formation from the pure elements at 2.89 kJ per mole of atoms. Its relative energy among the computed polymorphs is 0.00 kcal/mol of atoms. For the magnetic moment, the calculation gives 0.00 μB per formula unit.

The space group is P4/mmm (No. 123) and the conventional cell measures 5.0548, 5.0548 and 10.1076 Å, with angles of 90.00, 90.00 and 90.00 degrees. The distinct sites, in fractional coordinates, are Sm at (0.0000, 0.0000, 0.0000), Sm at (0.0000, 0.0000, 0.5000), Sm at (0.0000, 0.5000, 0.2444), Y at (0.5000, 0.5000, 0.5000) and Sc at (0.5000, 0.5000, 0.0000).

Entry 9:
Computed, not measured: a relaxed structure of BaAlGeF at the PBE level of DFT.

The energy relative to the elements, uncorrected is -1711 meV per atom. Its crystal system is tetragonal. For the magnetic moment, the calculation gives 0.00 μB per formula unit.

The space group is P4/nmm (No. 129, origin choice 2) and the conventional cell measures 4.2741, 4.2741 and 9.9699 Å, with angles of 90.00, 90.00 and 90.00 degrees. The distinct sites, in fractional coordinates, are Ba at (0.2500, 0.2500, 0.1597), Al at (0.2500, 0.7500, 0.5000), Ge at (0.2500, 0.2500, 0.6555) and F at (0.2500, 0.7500, 0.0000).

Entry 10:
Computed, not measured: a relaxed structure of NbV2Ni4 at the PBE level of DFT.

Its crystal system is tetragonal. The calculation puts the energy of formation from the pure elements at 94.67 kJ per mole of atoms. For the magnetic moment, the calculation gives 0.00 μB per formula unit.

The space group is I4/mmm (No. 139) and the conventional cell measures 4.5750, 4.5750 and 11.5999 Å, with angles of 90.00, 90.00 and 90.00 degrees. The distinct sites, in fractional coordinates, are Nb at (0.0000, 0.0000, 0.0000), V at (0.0000, 0.0000, 0.4094), Ni at (0.0000, 0.0000, 0.2035) and Ni at (0.0000, 0.5000, 0.0000).

Entry 11:
Computed, not measured: a relaxed structure of TaHgP at the PBE level of DFT.

Its crystal system is hexagonal. The calculation puts the energy of formation from the pure elements at 15.98 kJ per mole of atoms. Its relative energy among the computed polymorphs is 4.64 kcal/mol of atoms. For the magnetic moment, the calculation gives 0.00 μB per formula unit.

The space group is P-6m2 (No. 187) and the conventional cell measures 4.2072, 4.2072 and 3.8294 Å, with angles of 90.00, 90.00 and 120.00 degrees. The distinct sites, in fractional coordinates, are Ta at (0.0000, 0.0000, 0.0000), Hg at (0.6667, 0.3333, 0.5000) and P at (0.3333, 0.6667, 0.0000).

Entry 12:
Computed, not measured: a relaxed structure of Zn2OsRh at the PBE level of DFT.

Its crystal system is monoclinic. The calculation puts the energy of formation from the pure elements at 3.20 kJ per mole of atoms. Its relative energy among the computed polymorphs is 1.02 kcal/mol of atoms. For the magnetic moment, the calculation gives 0.00 μB per formula unit.

The space group is Cm (No. 8) and the conventional cell measures 9.0300, 2.7418 and 4.6378 Å, with angles of 90.00, 99.89 and 90.00 degrees. The distinct sites, in fractional coordinates, are Zn at (0.0000, 0.0000, 0.0000), Zn at (0.2413, 0.0000, 0.7530), Os at (0.2500, 0.5000, 0.2553) and Rh at (0.4895, 0.0000, 0.4960).